Record 1
An optimized crystal structure of In3IrBr. Source: Alexandria, functional PBE.

abc: 9.636 9.636 9.636
angles: 60.00 60.00 60.00
Positions (direct):
In (0.698, 0.302, 0.698)
In (0.552, 0.948, 0.552)
Br (0.625, 0.125, 0.125)
In (0.302, 0.698, 0.698)
In (0.552, 0.552, 0.948)
In (0.302, 0.302, 0.698)
Ir (0.625, 0.625, 0.625)
Ir (0.125, 0.625, 0.625)
In (0.948, 0.552, 0.948)
Br (0.125, 0.625, 0.125)
Br (0.125, 0.125, 0.125)
In (0.698, 0.302, 0.302)
In (0.302, 0.698, 0.302)
In (0.948, 0.948, 0.552)
Br (0.125, 0.125, 0.625)
Ir (0.625, 0.125, 0.625)
In (0.948, 0.552, 0.552)
In (0.552, 0.948, 0.948)
Ir (0.625, 0.625, 0.125)
In (0.698, 0.698, 0.302)

Formation energy without anion corrections: -314 meV/atom
Energy above the most stable polymorph in this dataset: 64 meV/atom
Symmetry: No. 227
Crystal system: cubic

---

Record 2
An optimized crystal structure of Ta3FeH. Source: Alexandria, functional PBE.

abc: 4.574 4.574 4.574
angles: 90.00 90.00 90.00
Positions (direct):
Ta (0.500, 0.000, 0.000)
H (0.500, 0.500, 0.500)
Ta (0.000, 0.500, 0.000)
Fe (0.000, 0.000, 0.000)
Ta (0.000, 0.000, 0.500)

Energy above the most stable polymorph in this dataset: 1263 meV/atom
Symmetry: No. 221
Crystal system: cubic

---

Record 3
An optimized crystal structure of BeCuPb2. Source: Alexandria, functional PBE.

abc: 3.390 3.390 7.468
angles: 90.00 90.00 101.13
Positions (direct):
Pb (0.000, 0.000, 0.004)
Pb (0.000, 0.000, 0.496)
Cu (0.500, 0.500, 0.750)
Be (0.500, 0.500, 0.250)

Symmetry: No. 65
Crystal system: orthorhombic
Formation enthalpy at 0 K: 0.56 eV per atom

---

Number 1: total DFT energy (no corrections) -4.0637 eV/atom, calculated volume 633 Å³/cell. Number 2: total DFT energy (no corrections) -8.0268 eV/atom, calculated volume 96 Å³/cell. Number 3: total DFT energy (no corrections) -3.2540 eV/atom, calculated volume 84 Å³/cell.